The following is a PBE with a Hubbard U calculation of FeHg3Cl2F6 after structural relaxation, from Alexandria.

Values from the calculation:
The volume comes out at 450.8 Å³/cell. The calculation puts the total energy at -0.236 Ry per atom. As for the density of states at the Fermi level: 0.212 states/eV/atom. Its mass density is 6.21 g/cm³.

Cell lengths 12.5198, 6.6020, 5.4587 Å; angles 90.00, 92.38, 90.00 degrees
Space group C2/m (No. 12)
One atom of each set of equivalent atoms:
Fe1 0.0000 0.0000 0.0000 [2 per cell]
Hg1 0.0000 0.5000 0.5000 [2 per cell]
Hg2 0.2500 0.2500 0.0000 [4 per cell]
Cl1 0.1848 0.5000 0.3723 [4 per cell]
F1 0.0681 0.2163 0.8076 [8 per cell]
F2 0.1323 0.0000 0.2054 [4 per cell]